Entry 1:
The following is a PBE calculation of CdPt after structural relaxation, from Alexandria via LeMat-Bulk.

```
CdPt
1.0
-3.116 1.161 3.248
1.533 -4.379 -0.290
1.267 2.674 3.585
Pt Cd
2 2
Direct
0.125 0.375 0.125
0.875 0.625 0.875
0.375 0.125 0.375
0.625 0.875 0.625
```

For the calculated volume, the calculation gives 17.8 Å³ per atom. The value obtained for the formation energy is -0.18 eV/atom. The total magnetization comes out at 0.00 Bohr magnetons per cell. Its total energy is -3.661 eV/atom. The calculation puts the density at 14.38 g cm⁻³.

Entry 2:
The following is a PBE calculation of TmHf2Al after structural relaxation, from Alexandria via LeMat-Bulk.

```
TmHf2Al
1.0
-0.880 2.587 1.585
-3.028 -0.647 -0.625
-0.527 -4.772 7.499
Hf Al Tm
2 1 1
Direct
0.000 0.000 0.220
0.000 0.000 0.780
0.500 0.500 0.000
0.500 0.500 0.500
```

For the calculated volume, the calculation gives 22.2 Å³ per atom. The value obtained for the formation energy is -0.08 eV/atom. The total magnetization comes out at 0.00 Bohr magnetons per cell. Its total energy is -7.108 eV/atom. The calculation puts the density at 10.33 g cm⁻³.

Entry 3:
The following is a PBE calculation of KSn3H after structural relaxation, from Alexandria via LeMat-Bulk.

```
KSn3H
1.0
-2.662 -4.807 2.584
5.237 -1.442 2.712
-1.533 3.418 4.778
Sn H K
3 1 1
Direct
0.500 0.000 0.000
0.000 0.000 0.500
0.000 0.500 0.000
0.500 0.500 0.500
0.000 0.000 0.000
```

For the calculated volume, the calculation gives 44.8 Å³ per atom. The total magnetization comes out at 0.80 Bohr magnetons per cell. Its total energy is -1.767 eV/atom. The calculation puts the density at 2.94 g cm⁻³.